Record 1
## V2Ni3Rh4 (PBE)

Data for an optimized crystal structure of V2Ni3Rh4.

## Properties
Calculated formation energy, eV/atom: -0.248
D(E_F), states/eV per atom: 1.285
Uncorrected energy, eV/cell: -134.44
Magnetic moment, μB per formula unit: 0.0

```
data_V2Ni3Rh4
_chemical_formula_sum 'V4 Ni6 Rh8'
_cell_length_a 8.123
_cell_length_b 3.785
_cell_length_c 7.843
_cell_angle_alpha 90.00
_cell_angle_beta 105.64
_cell_angle_gamma 90.00
_space_group_name_H-M_alt 'C 1 2/m 1'
_space_group_IT_number 12
_space_group_name_Hall '-C 2y'
loop_
_atom_site_label
_atom_site_fract_x
_atom_site_fract_y
_atom_site_fract_z
V1 0.170 0.000 0.219
Ni1 0.000 0.500 0.000
Ni2 0.165 0.000 0.547
Rh1 0.007 0.500 0.336
Rh2 0.164 0.000 0.887
```



Record 2
## VNiRh (PBE)

Data for an optimized crystal structure of VNiRh.

## Properties
Calculated formation energy, eV/atom: 0.223
D(E_F), states/eV per atom: 0.886
Uncorrected energy, eV/cell: -86.33
Magnetic moment, μB per formula unit: 0.0

```
data_VNiRh
_chemical_formula_sum 'V4 Ni4 Rh4'
_cell_length_a 6.894
_cell_length_b 4.004
_cell_length_c 6.765
_cell_angle_alpha 90.00
_cell_angle_beta 109.75
_cell_angle_gamma 90.00
_space_group_name_H-M_alt 'C 1 2/m 1'
_space_group_IT_number 12
_space_group_name_Hall '-C 2y'
loop_
_atom_site_label
_atom_site_fract_x
_atom_site_fract_y
_atom_site_fract_z
V1 0.120 0.000 0.360
Ni1 0.237 0.500 0.213
Rh1 0.000 0.000 0.000
Rh2 0.000 0.500 0.500
```